{"formula": "TeWN2", "functional": "PBE", "state": "optimized geometry", "magmom_total_mub_per_cell": 0.000, "dft_energy_ev_per_atom": -7.99, "sg": "R-3m", "crystal_system": "trigonal", "e_form_raw_ev_per_atom": 0.1983, "lattice_angstrom": [[1.774, 0.000, 6.946], [-0.887, 1.536, 6.946], [-0.887, -1.536, 6.946]], "species": ["W", "N", "N", "Te"], "frac_coords": [[0.500, 0.500, 0.500], [0.889, 0.889, 0.889], [0.111, 0.111, 0.111], [0.000, 0.000, 0.000]]}